No. 1
A relaxed TbPr2Sn3Ir4 crystal, computed with PBE.

Cell and atoms, written as POSCAR:
```
TbPr2Sn3Ir4
1.0
4.4100 0.0000 0.0000
0.0000 4.4100 0.0000
0.0000 0.0000 11.6436
Sn Ir Pr Tb
3 4 2 1
Cartesian
0.0000 0.0000 5.8218
0.0000 2.2050 1.4708
2.2050 0.0000 10.1728
0.0000 2.2050 4.0894
2.2050 2.2050 0.0000
0.0000 0.0000 0.0000
2.2050 0.0000 7.5542
0.0000 2.2050 8.9398
2.2050 0.0000 2.7038
2.2050 2.2050 5.8218
```

## Properties
DFT formation energy   -0.61 eV/atom
SG   P-4m2


No. 2
A relaxed TiTeW3 crystal, computed with PBE.

Cell and atoms, written as POSCAR:
```
TiTeW3
1.0
4.8445 0.0000 0.0000
0.0000 4.8445 0.0000
0.0000 0.0000 4.8445
W Te Ti
3 1 1
Cartesian
0.0000 2.4222 0.0000
2.4222 0.0000 0.0000
0.0000 0.0000 2.4222
0.0000 0.0000 0.0000
2.4222 2.4222 2.4222
```

## Properties
SG   Pm-3m
E_form (uncorrected)   2.32 eV per atom
Energy relative to the lowest polymorph listed for this composition   388 meV/atom


No. 3
A relaxed NbTlAs2 crystal, computed with PBE.

Cell and atoms, written as POSCAR:
```
NbTlAs2
1.0
0.0000 3.4494 3.4494
3.4494 0.0000 3.4494
3.4494 3.4494 0.0000
As Tl Nb
2 1 1
Cartesian
1.7247 1.7247 1.7247
5.1741 5.1741 5.1741
3.4494 3.4494 3.4494
0.0000 0.0000 0.0000
```

## Properties
DFT formation energy   0.36 eV/atom
SG   Fm-3m
Energy relative to the lowest polymorph listed for this composition   264 meV/atom


The records above yield calculated volume values of 22.65, 22.74, 20.52 Å³ per atom, respectively.